DFT (GGA-PBE) results for a relaxed structure of MnZnTe2.

Cell and atoms, written as CIF:
```
data_MnZnTe2
_cell_length_a 4.378
_cell_length_b 3.779
_cell_length_c 6.706
_cell_angle_alpha 90.00
_cell_angle_beta 92.53
_cell_angle_gamma 90.00
_space_group_name_H-M_alt 'P 1'
_space_group_IT_number 1
loop_
_space_group_symop_operation_xyz
'x,y,z'
loop_
_atom_site_label
_atom_site_fract_x
_atom_site_fract_y
_atom_site_fract_z
_atom_site_occupancy
Mn1 0.000 0.000 0.000 1
Zn1 0.000 0.000 0.500 1
Te1 0.268 0.500 0.245 1
Te2 0.732 0.500 0.755 1
```

Computed properties:
As for the space group: P2/m (10). The value obtained for the raw formation energy is 78.6 meV per atom.